## w
First-principles (PBE) data for an optimized crystal structure of RbAs2HSe, as listed in Alexandria.

Output
Fermi-level density of states: 1.94 states/eV per cell
Space-group type: P4/mmm, No. 123
V: 103.1 Å³ per cell

a b c (Å): 4.4577 4.4577 5.1909
angles (deg): 90.00 90.00 90.00
Last column: nearest neighbours and their distance in Å.
Element x y z (fractional)
1 Rb 0.0000 0.0000 0.0000  4 Se 3.15, 8 As 3.42
2 As 0.0000 0.5000 0.5000  2 H 2.23
3 As 0.5000 0.0000 0.5000  2 H 2.23
4 H 0.5000 0.5000 0.5000  4 As 2.23
5 Se 0.5000 0.5000 0.0000  2 H 2.60

***

## x
First-principles (PBE) data for an optimized crystal structure of RbAs2HSe, as listed in Alexandria.

Output
Fermi-level density of states: 8.19 states/eV per cell
Space-group type: P4/mmm, No. 123
V: 370.4 Å³ per cell

a b c (Å): 7.4758 7.4758 6.6271
angles (deg): 90.00 90.00 90.00
Last column: nearest neighbours and their distance in Å.
Element x y z (fractional)
1 Rb 0.0000 0.0000 0.0000  2 Se 3.31
2 As 0.0000 0.5000 0.0000  2 Rb 3.74
3 As 0.5000 0.0000 0.0000  2 Rb 3.74
4 H 0.5000 0.5000 0.5000  8 As 5.00, 4 Se 5.29
5 Se 0.0000 0.0000 0.5000  2 Rb 3.31

***

Verdict on stability: w comes out on top.

***

## w
First-principles (PBE) data for an optimized crystal structure of RbTlAsH, as listed in Alexandria.

Output
Fermi-level density of states: 0.18 states/eV per cell
Space-group type: R3m, No. 160
V: 114.7 Å³ per cell

a b c (Å): 7.2141 7.2141 7.2141
angles (deg): 35.78 35.78 35.78
Last column: nearest neighbours and their distance in Å.
Element x y z (fractional)
1 Rb 0.0000 0.0000 0.0000  3 H 2.81
2 Tl 0.1824 0.1824 0.1824  1 H 1.90
3 As 0.4651 0.4651 0.4651  3 Tl 2.76
4 H 0.2765 0.2765 0.2765  1 Tl 1.90

***

## x
First-principles (PBE) data for an optimized crystal structure of RbTlAsH, as listed in Alexandria.

Output
Fermi-level density of states: 0.74 states/eV per cell
Space-group type: Pm, No. 6
V: 116.8 Å³ per cell

a b c (Å): 3.5116 5.2164 6.3790
angles (deg): 90.00 91.82 90.00
Last column: nearest neighbours and their distance in Å.
Element x y z (fractional)
1 Rb 0.0000 0.0000 0.0000  2 H 2.79
2 Tl 0.3746 0.5000 0.5960  1 H 1.98
3 As 0.5384 0.0000 0.4799  2 Tl 2.78
4 H 0.0615 0.5000 0.8485  1 Tl 1.98

***

## y
First-principles (PBE) data for an optimized crystal structure of RbTlAsH, as listed in Alexandria.

Output
Space-group type: P3m1, No. 156
V: 120.4 Å³ per cell

a b c (Å): 4.8448 4.8448 5.9245
angles (deg): 90.00 90.00 120.00
Last column: nearest neighbours and their distance in Å.
Element x y z (fractional)
1 Rb 0.0000 0.0000 0.0000  3 H 2.85
2 Tl 0.3333 0.6667 0.5540  3 As 3.03
3 As 0.6667 0.3333 0.3576  1 H 1.58
4 H 0.6667 0.3333 0.0908  1 As 1.58

***

Verdict on stability: y comes out on top.